! BaCr2CoO8 | the Alexandria database | PBE+U | relaxed; values from VASP
! - Crystal system: trigonal
! - Total DFT energy (no corrections): -6.691 eV per atom
&SYSTEM
  ibrav = 0, nat = 12, ntyp = 4
/
ATOMIC_SPECIES
Ba 137.33 Ba.upf
Cr 52.00 Cr.upf
Co 58.93 Co.upf
O 16.00 O.upf
ATOMIC_POSITIONS angstrom
Ba 0.000 0.000 0.000
Cr 0.000 3.172 5.404
Cr 2.747 1.586 1.857
Co 0.000 0.000 3.630
O 0.000 1.583 4.885
O -1.377 3.967 4.885
O 1.370 0.791 2.376
O 0.000 3.172 7.062
O 2.747 1.586 0.199
O 1.377 3.967 4.885
O 4.124 0.791 2.376
O 2.747 3.176 2.376
CELL_PARAMETERS angstrom
5.494 0.000 0.000
-2.747 4.758 0.000
0.000 0.000 7.261